This record from the Alexandria database describes a PBEsol-optimized structure of Cd2AgAu. The functional is meta-GGA SCAN.

Values from the calculation:
For the volume, the calculation gives 18.1 A^3/atom. As for the formation energy: -0.12 eV per atom. The calculation puts the total DFT energy (no corrections) at -40.45 eV per atom. As for the calculated density: 12.14 g/cm3.

Cell and atoms, written as POSCAR:
```
Cd2AgAu
1.0
4.679 0.000 0.000
2.340 4.052 0.000
2.340 1.351 3.820
Au Ag Cd
1 1 2
Direct
0.250 0.250 0.250 Au
0.500 0.500 0.500 Ag
0.000 0.000 0.000 Cd
0.750 0.750 0.750 Cd
```

=====

This record from the Alexandria database describes a PBEsol-optimized structure of Ba3SrPb. The functional is meta-GGA SCAN.

Values from the calculation:
For the volume, the calculation gives 52.4 A^3/atom. As for the formation energy: 0.61 eV per atom. The calculation puts the total DFT energy (no corrections) at -42.73 eV per atom. As for the calculated density: 4.48 g/cm3.

Cell and atoms, written as POSCAR:
```
Ba3SrPb
1.0
6.399 0.000 0.000
0.000 6.399 0.000
0.000 0.000 6.399
Pb Sr Ba
1 1 3
Direct
0.500 0.500 0.500 Pb
0.000 0.000 0.000 Sr
0.000 0.500 0.000 Ba
0.000 0.000 0.500 Ba
0.500 0.000 0.000 Ba
```

=====

This record from the Alexandria database describes a PBEsol-optimized structure of AsIrSe2. The functional is meta-GGA SCAN.

Values from the calculation:
The formation energy (no corrections) is 0.41 eV/atom. For the volume, the calculation gives 19.2 A^3/atom. The calculation puts the total DFT energy (no corrections) at -32.46 eV per atom. As for the calculated density: 9.19 g/cm3.

Cell and atoms, written as POSCAR:
```
AsIrSe2
1.0
2.934 0.000 0.000
0.000 3.962 0.000
0.000 0.000 6.602
As Ir Se
1 1 2
Direct
0.000 0.000 0.556 As
0.500 0.500 0.694 Ir
0.000 0.000 0.940 Se
0.500 0.500 0.311 Se
```

=====

This record from the Alexandria database describes a PBEsol-optimized structure of AgRhC2. The functional is meta-GGA SCAN.

Values from the calculation:
For the volume, the calculation gives 13.1 A^3/atom. As for the formation energy: 1.25 eV per atom. The calculation puts the total DFT energy (no corrections) at -20.08 eV per atom. As for the calculated density: 7.46 g/cm3.

Cell and atoms, written as POSCAR:
```
AgRhC2
1.0
4.853 0.000 0.000
-2.427 5.057 -0.009
0.000 2.336 4.254
C Rh Ag
4 2 2
Direct
0.579 0.750 0.375 C
0.171 0.750 0.875 C
0.875 0.250 0.579 C
0.375 0.250 0.171 C
0.250 0.500 0.250 Rh
0.500 0.000 0.500 Rh
0.750 0.500 0.750 Ag
0.000 0.000 0.000 Ag
```